# 1
NbSiRh5 after structural relaxation. Source: the Alexandria database, functional PBE.

Cell and atoms, written as CIF:
```
data_NbSiRh5
_chemical_formula_sum 'Nb1 Si1 Rh5'
_space_group_name_H-M_alt 'P 1'
_space_group_IT_number 1
_cell_length_a 3.9491
_cell_length_b 3.9491
_cell_length_c 6.6746
_cell_angle_alpha 90.00
_cell_angle_beta 90.00
_cell_angle_gamma 90.00
loop_
_space_group_symop_operation_xyz
'x,y,z'
loop_
_atom_site_label
_atom_site_fract_x
_atom_site_fract_y
_atom_site_fract_z
Nb1 0.0000 0.0000 0.0000
Si1 0.5000 0.5000 0.5000
Rh1 0.0000 0.5000 0.2883
Rh2 0.0000 0.5000 0.7117
Rh3 0.5000 0.0000 0.2883
Rh4 0.5000 0.0000 0.7117
Rh5 0.5000 0.5000 0.0000
```

Output
formation energy from raw total energies	-0.57	eV per atom
space-group type	P4/mmm, No. 123
electronic total energy	-8.033	eV per atom

# 2
NbSiRh3 after structural relaxation. Source: the Alexandria database, functional PBE.

Cell and atoms, written as CIF:
```
data_NbSiRh3
_chemical_formula_sum 'Nb1 Si1 Rh3'
_space_group_name_H-M_alt 'P 1'
_space_group_IT_number 1
_cell_length_a 4.7151
_cell_length_b 4.7151
_cell_length_c 4.7151
_cell_angle_alpha 90.00
_cell_angle_beta 90.00
_cell_angle_gamma 90.00
loop_
_space_group_symop_operation_xyz
'x,y,z'
loop_
_atom_site_label
_atom_site_fract_x
_atom_site_fract_y
_atom_site_fract_z
Nb1 0.0000 0.0000 0.0000
Si1 0.5000 0.5000 0.5000
Rh1 0.0000 0.0000 0.5000
Rh2 0.0000 0.5000 0.0000
Rh3 0.5000 0.0000 0.0000
```

Output
formation energy from raw total energies	1.14	eV per atom
space-group type	Pm-3m, No. 221
electronic total energy	-6.371	eV per atom

# 3
Nb2Si2Rh after structural relaxation. Source: the Alexandria database, functional PBE.

Cell and atoms, written as CIF:
```
data_Nb2Si2Rh
_chemical_formula_sum 'Nb4 Si4 Rh2'
_space_group_name_H-M_alt 'P 1'
_space_group_IT_number 1
_cell_length_a 6.3228
_cell_length_b 6.3228
_cell_length_c 3.8017
_cell_angle_alpha 90.00
_cell_angle_beta 90.00
_cell_angle_gamma 90.00
loop_
_space_group_symop_operation_xyz
'x,y,z'
loop_
_atom_site_label
_atom_site_fract_x
_atom_site_fract_y
_atom_site_fract_z
Nb1 0.1702 0.3298 0.0000
Nb2 0.3298 0.8298 0.0000
Nb3 0.6702 0.1702 0.0000
Nb4 0.8298 0.6702 0.0000
Si1 0.1330 0.6330 0.5000
Si2 0.3670 0.1330 0.5000
Si3 0.6330 0.8670 0.5000
Si4 0.8670 0.3670 0.5000
Rh1 0.0000 0.0000 0.5000
Rh2 0.5000 0.5000 0.5000
```

Output
formation energy from raw total energies	-0.70	eV per atom
space-group type	P4/mbm, No. 127
electronic total energy	-8.364	eV per atom

# 4
Nb3SiRh after structural relaxation. Source: the Alexandria database, functional PBE.

Cell and atoms, written as CIF:
```
data_Nb3SiRh
_chemical_formula_sum 'Nb3 Si1 Rh1'
_space_group_name_H-M_alt 'P 1'
_space_group_IT_number 1
_cell_length_a 4.7871
_cell_length_b 4.7871
_cell_length_c 4.7871
_cell_angle_alpha 90.00
_cell_angle_beta 90.00
_cell_angle_gamma 90.00
loop_
_space_group_symop_operation_xyz
'x,y,z'
loop_
_atom_site_label
_atom_site_fract_x
_atom_site_fract_y
_atom_site_fract_z
Nb1 0.0000 0.0000 0.5000
Nb2 0.0000 0.5000 0.0000
Nb3 0.5000 0.0000 0.0000
Si1 0.5000 0.5000 0.5000
Rh1 0.0000 0.0000 0.0000
```

Output
formation energy from raw total energies	1.07	eV per atom
space-group type	Pm-3m, No. 221
electronic total energy	-7.530	eV per atom

# 5
NbSiTcRh after structural relaxation. Source: the Alexandria database, functional PBE.

Cell and atoms, written as CIF:
```
data_NbSiTcRh
_chemical_formula_sum 'Nb1 Si1 Tc1 Rh1'
_space_group_name_H-M_alt 'P 1'
_space_group_IT_number 1
_cell_length_a 4.3691
_cell_length_b 4.3691
_cell_length_c 4.3691
_cell_angle_alpha 60.00
_cell_angle_beta 60.00
_cell_angle_gamma 60.00
loop_
_space_group_symop_operation_xyz
'x,y,z'
loop_
_atom_site_label
_atom_site_fract_x
_atom_site_fract_y
_atom_site_fract_z
Nb1 0.0000 0.0000 0.0000
Si1 0.5000 0.5000 0.5000
Tc1 0.7500 0.7500 0.7500
Rh1 0.2500 0.2500 0.2500
```

Output
formation energy from raw total energies	-0.42	eV per atom
space-group type	F-43m, No. 216
electronic total energy	-8.723	eV per atom

# 6
ThNbSi2Rh after structural relaxation. Source: the Alexandria database, functional PBE.

Cell and atoms, written as CIF:
```
data_ThNbSi2Rh
_chemical_formula_sum 'Th1 Nb1 Si2 Rh1'
_space_group_name_H-M_alt 'P 1'
_space_group_IT_number 1
_cell_length_a 6.1255
_cell_length_b 6.1255
_cell_length_c 6.1255
_cell_angle_alpha 140.19
_cell_angle_beta 140.19
_cell_angle_gamma 57.57
loop_
_space_group_symop_operation_xyz
'x,y,z'
loop_
_atom_site_label
_atom_site_fract_x
_atom_site_fract_y
_atom_site_fract_z
Th1 0.0000 0.0000 0.0000
Nb1 0.2500 0.7500 0.5000
Si1 0.3864 0.3864 0.0000
Si2 0.6136 0.6136 0.0000
Rh1 0.7500 0.2500 0.5000
```

Output
formation energy from raw total energies	-0.74	eV per atom
space-group type	I-4m2, No. 119
electronic total energy	-7.879	eV per atom

# 7
ThNbSi2Rh5 after structural relaxation. Source: the Alexandria database, functional PBE.

Cell and atoms, written as CIF:
```
data_ThNbSi2Rh5
_chemical_formula_sum 'Th1 Nb1 Si2 Rh5'
_space_group_name_H-M_alt 'P 1'
_space_group_IT_number 1
_cell_length_a 4.0324
_cell_length_b 4.0324
_cell_length_c 10.4493
_cell_angle_alpha 90.00
_cell_angle_beta 90.00
_cell_angle_gamma 90.00
loop_
_space_group_symop_operation_xyz
'x,y,z'
loop_
_atom_site_label
_atom_site_fract_x
_atom_site_fract_y
_atom_site_fract_z
Th1 0.0000 0.0000 0.0000
Nb1 0.0000 0.0000 0.5000
Si1 0.5000 0.5000 0.2245
Si2 0.5000 0.5000 0.7755
Rh1 0.0000 0.5000 0.3377
Rh2 0.0000 0.5000 0.6623
Rh3 0.5000 0.0000 0.3377
Rh4 0.5000 0.0000 0.6623
Rh5 0.5000 0.5000 0.0000
```

Output
formation energy from raw total energies	-0.58	eV per atom
space-group type	P4/mmm, No. 123
electronic total energy	-7.808	eV per atom

# 8
NbZnSiRh2 after structural relaxation. Source: the Alexandria database, functional PBE.

Cell and atoms, written as CIF:
```
data_NbZnSiRh2
_chemical_formula_sum 'Nb1 Zn1 Si1 Rh2'
_space_group_name_H-M_alt 'P 1'
_space_group_IT_number 1
_cell_length_a 4.3751
_cell_length_b 4.3751
_cell_length_c 4.7024
_cell_angle_alpha 90.00
_cell_angle_beta 90.00
_cell_angle_gamma 90.00
loop_
_space_group_symop_operation_xyz
'x,y,z'
loop_
_atom_site_label
_atom_site_fract_x
_atom_site_fract_y
_atom_site_fract_z
Nb1 0.0000 0.0000 0.0000
Zn1 0.5000 0.5000 0.0000
Si1 0.0000 0.0000 0.5000
Rh1 0.0000 0.5000 0.5000
Rh2 0.5000 0.0000 0.5000
```

Output
formation energy from raw total energies	0.35	eV per atom
space-group type	P4/mmm, No. 123
electronic total energy	-5.946	eV per atom

Question: Which formula does entry 8 have?
Answer: NbZnSiRh2

Please write out number 6 again, unchanged.
ThNbSi2Rh after structural relaxation. Source: the Alexandria database, functional PBE.

Cell and atoms, written as CIF:
```
data_ThNbSi2Rh
_chemical_formula_sum 'Th1 Nb1 Si2 Rh1'
_space_group_name_H-M_alt 'P 1'
_space_group_IT_number 1
_cell_length_a 6.1255
_cell_length_b 6.1255
_cell_length_c 6.1255
_cell_angle_alpha 140.19
_cell_angle_beta 140.19
_cell_angle_gamma 57.57
loop_
_space_group_symop_operation_xyz
'x,y,z'
loop_
_atom_site_label
_atom_site_fract_x
_atom_site_fract_y
_atom_site_fract_z
Th1 0.0000 0.0000 0.0000
Nb1 0.2500 0.7500 0.5000
Si1 0.3864 0.3864 0.0000
Si2 0.6136 0.6136 0.0000
Rh1 0.7500 0.2500 0.5000
```

Output
formation energy from raw total energies	-0.74	eV per atom
space-group type	I-4m2, No. 119
electronic total energy	-7.879	eV per atom

Question: electronic total energy of number 3 (Nb2Si2Rh)?
Answer: -8.364 eV per atom

Question: What is the formation energy from raw total energies in the third record?
Answer: -0.70 eV per atom